Density functional theory data (GGA-PBEsol) for MnHgBr2 after structural relaxation.

## Properties
Raw formation energy in kJ/mol of atoms: 18
Magnetization in Bohr magnetons per cell: 4.77
Excess energy over the best structure of this formula in the dataset in kJ per mole of atoms: 59.3
SG: Pmmm
DOS(E_F) in states/eV/atom: 0.66
Total energy in eV/cell: -13.3

Cell and atoms, written as POSCAR:
```
MnHgBr2
1.0
4.0006 0.0000 0.0000
0.0000 4.1362 0.0000
0.0000 0.0000 5.8318
Hg Br Mn
1 2 1
Direct
0.5000 0.5000 0.0000 Hg
0.0000 0.0000 0.0000 Br
0.0000 0.5000 0.5000 Br
0.5000 0.0000 0.5000 Mn
```